VASP calculation (PBEsol) on a geometry-optimized Zr2AgRu structure.

Cell and atoms, written as POSCAR:
```
Zr2AgRu
1.0
-0.0407 -0.7120 -4.5547
-3.1913 -2.7484 -1.8751
-3.3644 1.8035 -2.5851
Zr Ag Ru
2 1 1
Cartesian
0.0000 0.0000 0.0000
-1.6491 -0.4142 -2.2537
-3.2982 -0.8284 -4.5074
-4.9473 -1.2427 -6.7611
```

## Properties
* E_tot: -7.949 eV per atom
* calculated density: 9.38 g cm⁻³
* symmetry: F-43m, No. 216
* calculated formation energy: -0.8 kcal/mol of atoms